Below is an optimized crystal structure of Tb9TmMg2, with properties calculated at the PBE-GGA level.

Calculated values
V = 30.329 A^3/atom
VASP energy = -4.092 eV per atom
ΔH_f (0 K) = 0.228 eV per formula unit

CIF file:
```
data_Tb9TmMg2
_symmetry_space_group_name_H-M 'P 4/m m m'
_symmetry_Int_Tables_number 123
_symmetry_space_group_name_Hall '-P 4 2'
_cell_length_a 4.943
_cell_length_b 4.943
_cell_length_c 14.898
_cell_angle_alpha 90.00
_cell_angle_beta 90.00
_cell_angle_gamma 90.00
loop_
_atom_site_label
_atom_site_type_symbol
_atom_site_fract_x
_atom_site_fract_y
_atom_site_fract_z
Tb1 Tb 0.000 0.000 0.000
Tb2 Tb 0.000 0.000 0.336
Tb3 Tb 0.000 0.500 0.169
Tb4 Tb 0.000 0.500 0.500
Tm1 Tm 0.500 0.500 0.000
Mg1 Mg 0.500 0.500 0.336
```

Below is an optimized crystal structure of Zn5CoPt6, with properties calculated at the PBE-GGA level.

Calculated values
V = 14.451 A^3/atom
VASP energy = -4.604 eV per atom
ΔH_f (0 K) = -5.522 eV per formula unit

CIF file:
```
data_Zn5CoPt6
_symmetry_space_group_name_H-M 'I m m m'
_symmetry_Int_Tables_number 71
_symmetry_space_group_name_Hall '-I 2 2'
_cell_length_a 4.053
_cell_length_b 7.097
_cell_length_c 12.059
_cell_angle_alpha 90.00
_cell_angle_beta 90.00
_cell_angle_gamma 90.00
loop_
_atom_site_label
_atom_site_type_symbol
_atom_site_fract_x
_atom_site_fract_y
_atom_site_fract_z
Zn1 Zn 0.000 0.000 0.000
Zn2 Zn 0.000 0.000 0.338
Zn3 Zn 0.000 0.500 0.333
Co1 Co 0.000 0.500 0.000
Pt1 Pt 0.000 0.250 0.500
Pt2 Pt 0.000 0.251 0.166
```

Below is an optimized crystal structure of CaTl2GaI5, with properties calculated at the PBE-GGA level.

Calculated values
V = 43.982 A^3/atom
VASP energy = -2.829 eV per atom
raw formation energy = -0.883 eV per atom

CIF file:
```
data_CaTl2GaI5
_symmetry_space_group_name_H-M 'C m c 21'
_symmetry_Int_Tables_number 36
_cell_length_a 4.649
_cell_length_b 20.371
_cell_length_c 16.721
_cell_angle_alpha 90.00
_cell_angle_beta 90.00
_cell_angle_gamma 90.00
loop_
_symmetry_equiv_pos_as_xyz
'x,y,z'
'-x,-y,z+1/2'
'-x,y,z'
'x,-y,z+1/2'
'x+1/2,y+1/2,z'
'-x+1/2,-y+1/2,z+1/2'
'-x+1/2,y+1/2,z'
'x+1/2,-y+1/2,z+1/2'
loop_
_atom_site_label
_atom_site_type_symbol
_atom_site_fract_x
_atom_site_fract_y
_atom_site_fract_z
Ca1 Ca 0.000 0.237 0.000
Tl1 Tl 0.000 0.079 0.611
Tl2 Tl 0.000 0.126 0.251
Ga1 Ga 0.000 0.444 0.417
I1 I 0.000 0.086 0.040
I2 I 0.000 0.250 0.631
I3 I 0.000 0.290 0.375
I4 I 0.000 0.387 0.959
I5 I 0.000 0.496 0.734
```

Below is an optimized crystal structure of Nd4SmHg3, with properties calculated at the PBE-GGA level.

Calculated values
V = 29.728 A^3/atom
VASP energy = -3.379 eV per atom
ΔH_f (0 K) = -2.336 eV per formula unit

CIF file:
```
data_Nd4SmHg3
_symmetry_space_group_name_H-M 'R -3 m'
_symmetry_Int_Tables_number 166
_symmetry_space_group_name_Hall '-R 3 2"'
_cell_length_a 5.4314
_cell_length_b 5.4314
_cell_length_c 27.9269
_cell_angle_alpha 90.00
_cell_angle_beta 90.00
_cell_angle_gamma 120.00
loop_
_atom_site_label
_atom_site_type_symbol
_atom_site_fract_x
_atom_site_fract_y
_atom_site_fract_z
Nd1 Nd 0.0000 0.0000 0.1125
Nd2 Nd 0.0000 0.0000 0.3693
Sm1 Sm 0.0000 0.0000 0.5000
Hg1 Hg 0.0000 0.0000 0.0000
Hg2 Hg 0.0000 0.0000 0.2349
```

Below is an optimized crystal structure of VBiRh3, with properties calculated at the PBE-GGA level.

Calculated values
V = 23.768 A^3/atom
offset from the most stable computed form = 0.961 eV/atom
VASP energy = -5.584 eV per atom
ΔH_f (0 K) = 7.135 eV per formula unit

CIF file:
```
data_VBiRh3
_symmetry_space_group_name_H-M 'P m -3 m'
_symmetry_Int_Tables_number 221
_symmetry_space_group_name_Hall '-P 4 2 3'
_cell_length_a 4.916
_cell_length_b 4.916
_cell_length_c 4.916
_cell_angle_alpha 90.00
_cell_angle_beta 90.00
_cell_angle_gamma 90.00
loop_
_atom_site_label
_atom_site_type_symbol
_atom_site_fract_x
_atom_site_fract_y
_atom_site_fract_z
V1 V 0.000 0.000 0.000
Bi1 Bi 0.500 0.500 0.500
Rh1 Rh 0.000 0.500 0.500
```

Below is an optimized crystal structure of La6Pr2Hg, with properties calculated at the PBE-GGA level.

Calculated values
V = 35.634 A^3/atom
VASP energy = -4.481 eV per atom
ΔH_f (0 K) = -0.906 eV per formula unit

CIF file:
```
data_La6Pr2Hg
_symmetry_space_group_name_H-M 'A m m 2'
_symmetry_Int_Tables_number 38
_cell_length_a 3.809
_cell_length_b 17.066
_cell_length_c 9.867
_cell_angle_alpha 90.00
_cell_angle_beta 90.00
_cell_angle_gamma 90.00
loop_
_symmetry_equiv_pos_as_xyz
'x,y,z'
'-x,-y,z'
'-x,y,z'
'x,-y,z'
'x,y+1/2,z+1/2'
'-x,-y+1/2,z+1/2'
'-x,y+1/2,z+1/2'
'x,-y+1/2,z+1/2'
loop_
_atom_site_label
_atom_site_type_symbol
_atom_site_fract_x
_atom_site_fract_y
_atom_site_fract_z
La1 La 0.000 0.000 0.000
La2 La 0.000 0.136 0.592
La3 La 0.500 0.000 0.352
La4 La 0.500 0.188 0.916
Pr1 Pr 0.000 0.167 0.228
Hg1 Hg 0.500 0.000 0.728
```

Below is an optimized crystal structure of SrMgNF2, with properties calculated at the PBE-GGA level.

Calculated values
V = 13.643 A^3/atom
offset from the most stable computed form = 0.000 eV/atom
VASP energy = -5.232 eV per atom
raw formation energy = -2.163 eV per atom

CIF file:
```
data_SrMgNF2
_symmetry_space_group_name_H-M 'P 4/m m m'
_symmetry_Int_Tables_number 123
_symmetry_space_group_name_Hall '-P 4 2'
_cell_length_a 3.946
_cell_length_b 3.946
_cell_length_c 4.380
_cell_angle_alpha 90.00
_cell_angle_beta 90.00
_cell_angle_gamma 90.00
loop_
_atom_site_label
_atom_site_type_symbol
_atom_site_fract_x
_atom_site_fract_y
_atom_site_fract_z
Sr1 Sr 0.000 0.000 0.000
Mg1 Mg 0.500 0.500 0.500
N1 N 0.500 0.500 0.000
F1 F 0.000 0.500 0.500
```

Below is an optimized crystal structure of Li2CdAg3, with properties calculated at the PBE-GGA level.

Calculated values
V = 17.951 A^3/atom
offset from the most stable computed form = 0.000 eV/atom
VASP energy = -2.349 eV per atom
ΔH_f (0 K) = -0.795 eV per formula unit

CIF file:
```
data_Li2CdAg3
_symmetry_space_group_name_H-M 'C 1 2/c 1'
_symmetry_Int_Tables_number 15
_cell_length_a 5.630
_cell_length_b 7.960
_cell_length_c 9.616
_cell_angle_alpha 90.00
_cell_angle_beta 91.40
_cell_angle_gamma 90.00
loop_
_symmetry_equiv_pos_as_xyz
'x,y,z'
'-x,-y,-z'
'-x,y,-z+1/2'
'x,-y,z+1/2'
'x+1/2,y+1/2,z'
'-x+1/2,-y+1/2,-z'
'-x+1/2,y+1/2,-z+1/2'
'x+1/2,-y+1/2,z+1/2'
loop_
_atom_site_label
_atom_site_type_symbol
_atom_site_fract_x
_atom_site_fract_y
_atom_site_fract_z
Li1 Li 0.111 0.247 0.118
Cd1 Cd 0.000 0.078 0.750
Ag1 Ag 0.000 0.440 0.750
Ag2 Ag 0.248 0.438 0.502
```

Below is an optimized crystal structure of La3PrRu2, with properties calculated at the PBE-GGA level.

Calculated values
V = 29.010 A^3/atom
VASP energy = -6.536 eV per atom
ΔH_f (0 K) = -1.102 eV per formula unit

CIF file:
```
data_La3PrRu2
_symmetry_space_group_name_H-M 'C 1 2/m 1'
_symmetry_Int_Tables_number 12
_cell_length_a 16.522
_cell_length_b 4.954
_cell_length_c 8.645
_cell_angle_alpha 90.00
_cell_angle_beta 100.30
_cell_angle_gamma 90.00
loop_
_symmetry_equiv_pos_as_xyz
'x,y,z'
'-x,-y,-z'
'-x,y,-z'
'x,-y,z'
'x+1/2,y+1/2,z'
'-x+1/2,-y+1/2,-z'
'-x+1/2,y+1/2,-z'
'x+1/2,-y+1/2,z'
loop_
_atom_site_label
_atom_site_type_symbol
_atom_site_fract_x
_atom_site_fract_y
_atom_site_fract_z
La1 La 0.062 0.000 0.188
La2 La 0.187 0.000 0.563
La3 La 0.187 0.500 0.061
Pr1 Pr 0.062 0.500 0.687
Ru1 Ru 0.126 0.000 0.878
Ru2 Ru 0.127 0.500 0.373
```

Below is an optimized crystal structure of CsPa2CuS5, with properties calculated at the PBE-GGA level.

Calculated values
V = 23.026 A^3/atom
VASP energy = -6.318 eV per atom
raw formation energy = -1.365 eV per atom

CIF file:
```
data_CsPa2CuS5
_symmetry_space_group_name_H-M 'I 4/m c m'
_symmetry_Int_Tables_number 140
_symmetry_space_group_name_Hall '-I 4 2c'
_cell_length_a 7.702
_cell_length_b 7.702
_cell_length_c 13.973
_cell_angle_alpha 90.00
_cell_angle_beta 90.00
_cell_angle_gamma 90.00
loop_
_atom_site_label
_atom_site_type_symbol
_atom_site_fract_x
_atom_site_fract_y
_atom_site_fract_z
Cs1 Cs 0.000 0.000 0.250
Pa1 Pa 0.162 0.338 0.000
Cu1 Cu 0.000 0.500 0.250
S1 S 0.000 0.000 0.000
S2 S 0.140 0.360 0.379
```

Number 1: size of the total moment 0.001 μB/cell. Number 2: size of the total moment 3.919 μB/cell. Number 3: size of the total moment 0.000 μB/cell. Number 4: size of the total moment 0.022 μB/cell. Number 5: size of the total moment 3.033 μB/cell. Number 6: size of the total moment 0.000 μB/cell. Number 7: size of the total moment 1.000 μB/cell. Number 8: size of the total moment 0.000 μB/cell. Number 9: size of the total moment 0.000 μB/cell. Number 10: size of the total moment 7.295 μB/cell.